Material: Ho2CdSi3Pt4
Method: DFT, PBE-GGA
State: optimized geometry

Results
space group = P-4m2 (115)
uncorrected formation energy = -9.30 eV per formula unit
total moment = 0.0 μB per formula unit
theoretical density = 11.84 g/cm³

Cell lengths 4.174, 4.174, 10.518 Å; angles 90.00, 90.00, 90.00 degrees
Atoms (fractional coordinates):
Ho  0.000  0.500  0.755
Pt  0.500  0.500  0.000
Si  0.000  0.500  0.125
Si  0.000  0.000  0.500
Ho  0.500  0.000  0.245
Pt  0.000  0.500  0.344
Cd  0.500  0.500  0.500
Pt  0.500  0.000  0.656
Pt  0.000  0.000  0.000
Si  0.500  0.000  0.875